A plane-wave DFT calculation with GGA+U was carried out for a geometry-optimized Li3FeSiBO7 structure.

Results
- Total energy: -6.566 eV per atom
- Space group: P2_1/m, No. 11
- Total moment: 4.0 μB/f.u.

abc: 6.3577 5.0657 8.4542
angles: 85.36 90.00 90.00
Element x y z (fractional)
O 0.7500 0.0142 0.9187
O 0.0566 0.1723 0.6948
O 0.2500 0.5370 0.1717
O 0.2500 0.6426 0.8926
O 0.7500 0.4630 0.8283
O 0.2500 0.1464 0.4029
O 0.4434 0.1723 0.6948
O 0.5566 0.8277 0.3052
O 0.2500 0.9858 0.0813
O 0.2500 0.5949 0.5357
O 0.7500 0.8536 0.5971
O 0.7500 0.3574 0.1074
O 0.9434 0.8277 0.3052
O 0.7500 0.4051 0.4643
B 0.2500 0.7285 0.0403
B 0.7500 0.2715 0.9597
Fe 0.7500 0.2034 0.6694
Fe 0.2500 0.7966 0.3306
Si 0.2500 0.2728 0.5750
Si 0.7500 0.7272 0.4250
Li 0.7500 0.7584 0.1076
Li 0.9942 0.7542 0.7608
Li 0.0058 0.2458 0.2392
Li 0.4942 0.2458 0.2392
Li 0.2500 0.2416 0.8924
Li 0.5058 0.7542 0.7608